Here is K2HfGaSe5 after structural relaxation from the Alexandria database. Energies are from PBE.

a b c (Å): 10.1874 10.1874 14.4248
angles (deg): 90.00 90.00 158.55
Last column: nearest neighbours and their distance in Å.
Fractional coordinates of all 18 atoms:
1 K 0.1303 0.8697 0.5000  7 Se 3.35-3.70
2 K 0.1302 0.8698 0.8688  7 Se 3.33-3.68
3 K 0.8697 0.1303 0.0000  7 Se 3.35-3.70
4 K 0.8698 0.1302 0.3688  7 Se 3.33-3.68
5 Hf 0.2078 0.7922 0.2065  5 Se 2.57-2.76
6 Hf 0.7922 0.2078 0.7065  5 Se 2.57-2.76
7 Ga 0.4307 0.5693 0.6062  4 Se 2.37-2.51
8 Ga 0.5693 0.4307 0.1062  4 Se 2.37-2.51
9 Se 0.0618 0.9382 0.2130  2 Ga 2.45
10 Se 0.2989 0.7011 0.8321  2 Hf 2.63
11 Se 0.3083 0.6917 0.5697  1 Ga 2.51, 2 Hf 2.76
12 Se 0.3351 0.6649 0.1852  1 Hf 2.57
13 Se 0.4922 0.5078 0.4658  1 Ga 2.37
14 Se 0.5078 0.4922 0.9658  1 Ga 2.37
15 Se 0.6649 0.3351 0.6852  1 Hf 2.57
16 Se 0.6917 0.3083 0.0697  1 Ga 2.51, 2 Hf 2.76
17 Se 0.7011 0.2989 0.3321  2 Hf 2.63
18 Se 0.9382 0.0618 0.7130  2 Ga 2.45

Values from the calculation:
The total energy comes out at -83.74 eV/cell. The volume is 547.4 Å³ per cell. For the total magnetization, the calculation gives 0.17 μB per formula unit.

---

Here is Nd2HRh after structural relaxation from the Alexandria database. Energies are from PBE.

a b c (Å): 7.3739 7.3739 7.3739
angles (deg): 30.19 30.19 30.19
Last column: nearest neighbours and their distance in Å.
Fractional coordinates of all 4 atoms:
1 Nd 0.0000 0.0000 0.0000  3 Rh 2.82, 3 H 2.89
2 Nd 0.1680 0.1680 0.1680  3 H 2.79, 3 Rh 2.82
3 H 0.7542 0.7542 0.7542  6 Nd 2.79-2.89
4 Rh 0.5841 0.5841 0.5841  6 Nd 2.82

Values from the calculation:
As for the distance to the lowest polymorph of the same formula: 17.2 kJ/mol of atoms. The volume is 89.8 Å³ per cell. For the total magnetization, the calculation gives 0.00 μB per formula unit.

---

Here is Tm8MgIn5 after structural relaxation from the Alexandria database. Energies are from PBE.

a b c (Å): 7.9965 7.9965 7.9965
angles (deg): 109.57 109.57 109.26
Last column: nearest neighbours and their distance in Å.
Fractional coordinates of all 14 atoms:
1 Tm 0.1220 0.2157 0.7621  5 In 3.12-3.31, 1 Mg 3.17, 2 Tm 3.33-3.47
2 Tm 0.1500 0.7506 0.7617  5 In 3.08-3.29
3 Tm 0.2494 0.0111 0.3994  5 In 3.08-3.29
4 Tm 0.4536 0.3599 0.2379  5 In 3.12-3.31, 1 Mg 3.17, 2 Tm 3.33-3.47
5 Tm 0.6117 0.8500 0.6006  5 In 3.08-3.29
6 Tm 0.6401 0.8780 0.0937  5 In 3.12-3.31, 1 Mg 3.17, 2 Tm 3.33-3.47
7 Tm 0.7843 0.5464 0.9063  5 In 3.12-3.31, 1 Mg 3.17, 2 Tm 3.33-3.47
8 Tm 0.9889 0.3883 0.2383  5 In 3.08-3.29
9 Mg 0.7500 0.2500 0.5000  8 Tm 3.17-3.48
10 In 0.0000 0.0000 0.0000  8 Tm 3.10-3.14
11 In 0.2612 0.6391 0.1189  8 Tm 3.08-3.31
12 In 0.3609 0.4799 0.6221  8 Tm 3.08-3.31
13 In 0.5201 0.1423 0.8811  8 Tm 3.08-3.31
14 In 0.8577 0.7388 0.3779  8 Tm 3.08-3.31

Values from the calculation:
The volume is 393.6 Å³ per cell. The formation energy from the elements comes out at -0.203 eV per atom. For the total magnetization, the calculation gives 0.00 μB per formula unit.

---

Here is Hf2TlPt after structural relaxation from the Alexandria database. Energies are from PBE.

a b c (Å): 10.1161 10.1161 10.1161
angles (deg): 155.17 155.17 35.40
Last column: nearest neighbours and their distance in Å.
Fractional coordinates of all 8 atoms:
1 Hf 0.1190 0.6250 0.9940  2 Pt 2.85, 2 Tl 2.87, 4 Hf 3.04-3.11
2 Hf 0.3750 0.3690 0.4940  2 Pt 2.85, 2 Tl 2.87, 4 Hf 3.04-3.11
3 Hf 0.6310 0.1250 0.0060  2 Pt 2.85, 2 Tl 2.87, 4 Hf 3.04-3.11
4 Hf 0.8750 0.8810 0.5060  2 Pt 2.85, 2 Tl 2.87, 4 Hf 3.04-3.11
5 Tl 0.2500 0.7500 0.5000  4 Hf 2.87, 4 Pt 3.08
6 Tl 0.5000 0.5000 0.0000  4 Hf 2.87, 4 Pt 3.08
7 Pt 0.0000 0.0000 0.0000  4 Hf 2.85, 4 Tl 3.08
8 Pt 0.7500 0.2500 0.5000  4 Hf 2.85, 4 Tl 3.08

Values from the calculation:
As for the distance to the lowest polymorph of the same formula: 49.1 kJ/mol of atoms. The volume is 182.3 Å³ per cell. The formation energy from the elements comes out at 0.187 eV per atom. For the total magnetization, the calculation gives 0.00 μB per formula unit.

---

Here is PmSm2Pu after structural relaxation from the Alexandria database. Energies are from PBE.

a b c (Å): 11.7992 11.7992 11.7992
angles (deg): 17.55 17.55 17.55
Last column: nearest neighbours and their distance in Å.
Fractional coordinates of all 4 atoms:
1 Pm 0.0000 0.0000 0.0000  6 Pm 3.60, 6 Sm 3.62-3.64
2 Sm 0.5808 0.5808 0.5808  3 Pu 3.51, 6 Sm 3.60, 3 Pm 3.64
3 Sm 0.7519 0.7519 0.7519  3 Pu 3.50, 6 Sm 3.60, 3 Pm 3.62
4 Pu 0.1662 0.1662 0.1662  6 Sm 3.50-3.51, 6 Pu 3.60

Values from the calculation:
As for the distance to the lowest polymorph of the same formula: 0.8 kJ/mol of atoms. The volume is 130.4 Å³ per cell. The formation energy from the elements comes out at 0.120 eV per atom. For the total magnetization, the calculation gives 6.16 μB per formula unit.

---

Here is Fe2PdRu after structural relaxation from the Alexandria database. Energies are from PBE.

a b c (Å): 2.6795 2.6795 7.3994
angles (deg): 90.00 90.00 90.00
Last column: nearest neighbours and their distance in Å.
Fractional coordinates of all 4 atoms:
1 Fe 0.0000 0.0000 0.2423  4 Ru 2.61, 4 Fe 2.68, 4 Pd 2.69
2 Fe 0.0000 0.0000 0.7577  4 Ru 2.61, 4 Fe 2.68, 4 Pd 2.69
3 Pd 0.5000 0.5000 0.5000  4 Pd 2.68, 8 Fe 2.69
4 Ru 0.5000 0.5000 0.0000  8 Fe 2.61, 4 Ru 2.68

Values from the calculation:
The volume is 53.1 Å³ per cell. The formation energy from the elements comes out at 0.090 eV per atom. For the total magnetization, the calculation gives 4.87 μB per formula unit.

---

> The highest volume belongs to which entry?

K2HfGaSe5

---

> Number 3 is which compound?

Tm8MgIn5

---

> Which value of volume does entry 2 give?

89.8 Å³ per cell

---

> Look up the volume of the second one.

89.8 Å³ per cell